No. 1
ZrCdTe2 PBE optimized geometry; magnetic moment = 0.00 Bohr magnetons per cell; energy relative to the elements, uncorrected = -0.87 eV per formula unit; SG = I-42d
1.0
-3.465 3.465 6.219
3.465 -3.465 6.219
3.465 3.465 -6.219
Zr Cd Te
2 2 4
Direct
0.000 0.000 0.000
0.750 0.250 0.500
0.250 0.750 0.500
0.500 0.500 0.000
0.104 0.625 0.979
0.375 0.354 0.479
0.646 0.125 0.021
0.875 0.896 0.521


No. 2
ZrCdTe PBE optimized geometry; magnetic moment = 0.00 Bohr magnetons per cell; excess energy over the best structure of this formula in the dataset = 74.8 meV/atom; energy relative to the elements, uncorrected = -1.02 eV per formula unit; SG = I4mm
1.0
-1.820 1.820 5.467
1.820 -1.820 5.467
1.820 1.820 -5.467
Zr Cd Te
1 1 1
Direct
0.000 0.000 0.000
0.325 0.325 0.000
0.634 0.634 0.000


no.,density (g cm⁻³)
1,5.10
2,7.60